[1]
Compound: ErScBe2Ge2
Source: OQMD via LeMat-Bulk
Functional: PBE-GGA
Structure: relaxed

Values from the calculation:
* SG: P-3m1, No. 164
* calculated volume: 99 Å³/f.u.
* M_tot: 0.00 μB/f.u.
* total energy: -31.36 eV/cell

Cell: 3.859 3.859 7.702 Å, 90.00 90.00 120.00°
Fractional coordinates of all 6 atoms:
Er  0.000  0.000  0.000
Sc  0.000  0.000  0.500
Be  0.333  0.667  0.261
Be  0.667  0.333  0.739
Ge  0.333  0.667  0.738
Ge  0.667  0.333  0.262

***

[2]
Compound: Ho2Sc2NCl5
Source: OQMD via LeMat-Bulk
Functional: PBE-GGA
Structure: relaxed

Values from the calculation:
* SG: C2/m, No. 12
* calculated volume: 216 Å³/f.u.
* M_tot: 0.00 μB/f.u.
* total energy: -57.91 eV/cell

Cell: 8.402 8.402 7.651 Å, 103.01 103.01 24.31°
Fractional coordinates of all 10 atoms:
Ho  0.001  0.001  0.293
Ho  0.999  0.999  0.707
Sc  0.363  0.363  0.429
Sc  0.637  0.637  0.571
N  0.500  0.500  0.500
Cl  0.166  0.166  0.823
Cl  0.171  0.171  0.347
Cl  0.500  0.500  0.000
Cl  0.829  0.829  0.653
Cl  0.834  0.834  0.177

***

[3]
Compound: BeReNiBi
Source: OQMD via LeMat-Bulk
Functional: PBE-GGA
Structure: relaxed

Values from the calculation:
* SG: F-43m, No. 216
* calculated volume: 60 Å³/f.u.
* M_tot: 0.07 μB/f.u.
* total energy: -22.37 eV/cell

Cell: 4.396 4.396 4.396 Å, 60.00 60.00 60.00°
Fractional coordinates of all 4 atoms:
Be  0.000  0.000  0.000
Re  0.750  0.750  0.750
Ni  0.500  0.500  0.500
Bi  0.250  0.250  0.250

***

[4]
Compound: NaPbAu3S4
Source: OQMD via LeMat-Bulk
Functional: PBE-GGA
Structure: relaxed

Values from the calculation:
* SG: P-43m, No. 215
* calculated volume: 234 Å³/f.u.
* total energy: -30.54 eV/cell

Cell: 6.159 6.159 6.159 Å, 90.00 90.00 90.00°
Fractional coordinates of all 9 atoms:
Na  0.000  0.000  0.000
Pb  0.500  0.500  0.500
Au  0.000  0.500  0.500
Au  0.500  0.000  0.500
Au  0.500  0.500  0.000
S  0.248  0.248  0.248
S  0.248  0.752  0.752
S  0.752  0.248  0.752
S  0.752  0.752  0.248

***

[5]
Compound: ZnSb
Source: OQMD via LeMat-Bulk
Functional: PBE-GGA
Structure: relaxed

Values from the calculation:
* SG: Pmma, No. 51
* calculated volume: 44 Å³/f.u.
* total energy: -20.51 eV/cell

Cell: 5.634 4.060 7.696 Å, 90.00 90.00 90.00°
Fractional coordinates of all 8 atoms:
Zn  0.000  0.000  0.000
Zn  0.250  0.500  0.181
Zn  0.500  0.000  0.000
Zn  0.750  0.500  0.819
Sb  0.250  0.000  0.445
Sb  0.250  0.500  0.770
Sb  0.750  0.000  0.555
Sb  0.750  0.500  0.230

***

[6]
Compound: AcPuSc
Source: OQMD via LeMat-Bulk
Functional: PBE-GGA
Structure: relaxed

Values from the calculation:
* SG: F-43m, No. 216
* calculated volume: 100 Å³/f.u.
* DFT formation energy: 1.83 eV per atom
* M_tot: 0.86 μB/f.u.

Cell: 5.216 5.216 5.216 Å, 60.00 60.00 60.00°
Fractional coordinates of all 3 atoms:
Ac  0.000  0.000  0.000
Pu  0.750  0.750  0.750
Sc  0.250  0.250  0.250